The following is a PBE-GGA calculation of Li2PdPbCl6 after structural relaxation, from Alexandria via LeMat-Bulk.

abc: 6.5159 6.6814 6.9497
angles: 69.94 87.72 66.70
Space group P1 (No. 1)
Unique sites:
1 Li 0.0000 0.0000 0.0000 (multiplicity 1)
2 Li 0.4678 0.9816 0.4655 (multiplicity 1)
3 Pd 0.7355 0.5059 0.1808 (multiplicity 1)
4 Pb 0.2277 0.5177 0.6515 (multiplicity 1)
5 Cl 0.1985 0.9226 0.3105 (multiplicity 1)
6 Cl 0.2588 0.0598 0.7525 (multiplicity 1)
7 Cl 0.5811 0.2921 0.4345 (multiplicity 1)
8 Cl 0.6609 0.3523 0.9502 (multiplicity 1)
9 Cl 0.8010 0.6668 0.4110 (multiplicity 1)
10 Cl 0.9044 0.7105 0.9326 (multiplicity 1)

Values from the calculation:
E_form (uncorrected) ... -1.16 eV/atom
VASP energy ... -0.2602 Ry/atom


The following is a PBE-GGA calculation of Sr5Co4 after structural relaxation, from Alexandria via LeMat-Bulk.

abc: 9.5934 9.5934 5.3076
angles: 90.00 90.00 90.00
Space group I4/mmm (No. 139)
Unique sites:
1 Sr 0.0000 0.0000 0.0000 (multiplicity 2)
2 Sr 0.1840 0.1840 0.5000 (multiplicity 8)
3 Co 0.0000 0.3878 0.0000 (multiplicity 8)

Values from the calculation:
Fermi-level density of states ... 27.23 states/eV/cell
VASP energy ... -0.2495 Ry/atom